1.
Cs4AuI5 | GGA-PBE | relaxed

a b c (Å): 7.740 9.160 9.160
angles (deg): 79.72 65.01 65.01
Positions (direct):
Cs1 0.405 0.392 0.788
Cs2 0.797 0.788 0.608
Cs3 0.193 0.212 0.392
Cs4 0.585 0.608 0.212
Au1 0.098 0.000 0.000
I1 0.909 0.338 0.833
I2 0.247 0.833 0.662
I3 0.742 0.167 0.338
I4 0.080 0.662 0.167
I5 0.453 0.000 0.000

Values from the calculation:
The energy relative to the elements, uncorrected comes out at -1143.2 meV per atom.

---

2.
ScAlRe2 | GGA-PBE | relaxed

a b c (Å): 4.275 4.275 3.447
angles (deg): 90.00 90.00 90.00
Positions (direct):
Sc1 0.500 0.000 0.500
Re1 0.000 0.000 0.000
Re2 0.500 0.500 0.000
Al1 0.000 0.500 0.500

Values from the calculation:
The calculation puts the formation energy at 0.2 eV per formula unit.

---

How do the records compare in DFT total energy? In the order shown, they have -2.587, -8.688 eV per atom.